Record 1
Here is a relaxed Cu2Tc3 crystal from Alexandria via LeMat-Bulk. Energies are from PBE-GGA.

Computed properties:
The calculation puts the total energy at -114.8 eV/cell. The spin magnetization comes out at 1.298 Bohr magnetons per cell.

Cell: 2.7021 2.7021 32.9063 Å, 90.00 90.00 120.00°
Last column: nearest neighbours and their distance in Å.
Space group R-3m (No. 166, hexagonal axes)
Asymmetric unit:
Cu (0.0000, 0.0000, 0.1006)  6 Tc 2.67-2.75, 6 Cu 2.70
Tc (0.0000, 0.0000, 0.3014)  9 Tc 2.62-2.70, 3 Cu 2.75
Tc (0.0000, 0.0000, 0.5000)  6 Cu 2.67, 6 Tc 2.70

=====

Record 2
Here is a relaxed ScTaOsAu2 crystal from Alexandria via LeMat-Bulk. Energies are from PBE-GGA.

Computed properties:
The calculation puts the total energy at -31.4 eV/cell. The spin magnetization comes out at 0.000 Bohr magnetons per cell.

Cell: 5.0547 5.0547 4.7301 Å, 90.00 90.00 90.00°
Last column: nearest neighbours and their distance in Å.
Space group P4/mmm (No. 123)
Asymmetric unit:
Sc (0.0000, 0.0000, 0.0000)  8 Au 3.46, 4 Os 3.57
Ta (0.5000, 0.5000, 0.5000)  2 Os 2.37, 4 Au 2.53
Os (0.5000, 0.5000, 0.0000)  2 Ta 2.37
Au (0.0000, 0.5000, 0.5000)  2 Ta 2.53

=====

Record 3
Here is a relaxed NdScCd crystal from Alexandria via LeMat-Bulk. Energies are from PBE-GGA.

Computed properties:
The calculation puts the total energy at -24.5 eV/cell. The spin magnetization comes out at 0.004 Bohr magnetons per cell.

Cell: 3.4292 3.4292 13.8542 Å, 90.00 90.00 90.00°
Last column: nearest neighbours and their distance in Å.
Space group P4/nmm (No. 129, origin choice 2)
Asymmetric unit:
Nd (0.2500, 0.2500, 0.2387)  4 Cd 3.38, 4 Nd 3.43, 4 Sc 3.51
Sc (0.2500, 0.2500, 0.5785)  8 Sc 3.26-3.43, 4 Nd 3.51
Cd (0.2500, 0.2500, 0.9310)  8 Cd 3.09-3.43, 4 Nd 3.38

=====

Record 4
Here is a relaxed ZrTaCl crystal from Alexandria via LeMat-Bulk. Energies are from PBE-GGA.

Computed properties:
The spin magnetization comes out at 0.000 Bohr magnetons per cell. Its uncorrected formation energy is -0.165 eV/atom.

Cell: 3.1817 3.1817 8.0771 Å, 90.00 90.00 120.00°
Last column: nearest neighbours and their distance in Å.
Space group P3m1 (No. 156)
Asymmetric unit:
Zr (0.0000, 0.0000, 0.0000)  3 Cl 2.61
Ta (0.3333, 0.6667, 0.7079)  3 Zr 2.99, 6 Ta 3.18
Cl (0.6667, 0.3333, 0.2298)  3 Zr 2.61

=====

Record 5
Here is a relaxed MnTeSe2N crystal from Alexandria via LeMat-Bulk. Energies are from PBE-GGA.

Computed properties:
The spin magnetization comes out at 4.929 Bohr magnetons per cell. Its uncorrected formation energy is 0.948 eV/atom.

Cell: 5.3872 5.3872 3.9350 Å, 90.00 90.00 90.00°
Last column: nearest neighbours and their distance in Å.
Space group P4/mmm (No. 123)
Asymmetric unit:
Mn (0.0000, 0.0000, 0.0000)  8 Se 3.34
Te (0.5000, 0.5000, 0.5000)  2 N 1.97
Se (0.0000, 0.5000, 0.5000)  2 Te 2.69
N (0.5000, 0.5000, 0.0000)  2 Te 1.97

=====

Record 6
Here is a relaxed Zr2ZnCoPd crystal from Alexandria via LeMat-Bulk. Energies are from PBE-GGA.

Computed properties:
The calculation puts the total energy at -65.8 eV/cell. The spin magnetization comes out at 0.000 Bohr magnetons per cell.

Cell: 6.3205 4.0763 7.1558 Å, 90.00 110.05 90.00°
Last column: nearest neighbours and their distance in Å.
Space group P2_1/m (No. 11)
Asymmetric unit:
Zr (0.0289, 0.2500, 0.2134)  3 Co 2.66-2.69, 2 Pd 2.78
Zr (0.3572, 0.7500, 0.6102)  3 Co 2.65-2.70, 3 Pd 2.87-2.88
Zn (0.3438, 0.2500, 0.9502)  1 Co 2.45, 3 Pd 2.67-2.74
Co (0.0876, 0.2500, 0.6034)  1 Zn 2.45, 2 Co 2.54, 6 Zr 2.65-2.70
Pd (0.3224, 0.7500, 0.1986)  3 Zn 2.67-2.74, 5 Zr 2.78-2.88

=====

Record 7
Here is a relaxed LaTb6Ce2Sm3 crystal from Alexandria via LeMat-Bulk. Energies are from PBE-GGA.

Computed properties:
The calculation puts the total energy at -116.3 eV/cell. The spin magnetization comes out at 3.742 Bohr magnetons per cell.

Cell: 6.2123 10.7670 11.8292 Å, 90.00 100.11 90.00°
Last column: nearest neighbours and their distance in Å.
Space group C2/m (No. 12)
Asymmetric unit:
La (0.0000, 0.0000, 0.0000)  6 Tb 3.57, 6 Ce 3.59
Tb (0.2464, 0.5000, 0.2484)  2 Ce 3.55, 6 Tb 3.57-3.63, 1 La 3.57, 3 Sm 3.58-3.59
Tb (0.2483, 0.3316, 0.7517)  2 Ce 3.55, 6 Tb 3.57-3.63, 1 La 3.57, 3 Sm 3.58-3.60
Ce (0.0000, 0.3332, 0.0000)  6 Tb 3.55, 3 Ce 3.59, 3 La 3.59
Sm (0.0000, 0.1665, 0.5000)  6 Tb 3.58-3.60, 6 Sm 3.58-3.59
Sm (0.0000, 0.5000, 0.5000)  6 Tb 3.58-3.59, 6 Sm 3.59

=====

Record 8
Here is a relaxed TaRuW2 crystal from Alexandria via LeMat-Bulk. Energies are from PBE-GGA.

Computed properties:
The calculation puts the total energy at -94.2 eV/cell. The spin magnetization comes out at 0.000 Bohr magnetons per cell.

Cell: 5.4432 8.9786 2.7915 Å, 90.00 109.58 90.00°
Last column: nearest neighbours and their distance in Å.
Space group C2/m (No. 12)
Asymmetric unit:
Ta (0.0000, 0.0000, 0.0000)  2 Ru 2.72, 4 W 2.75, 2 Ta 2.79
Ru (0.0000, 0.5000, 0.0000)  2 Ta 2.72, 4 W 2.75, 2 Ru 2.79
W (0.2500, 0.2500, 0.5000)  4 W 2.72-2.79, 2 Ta 2.75, 2 Ru 2.75

=====

Record 9
Here is a relaxed Zn5In12P3 crystal from Alexandria via LeMat-Bulk. Energies are from PBE-GGA.

Computed properties:
The calculation puts the total energy at -412.4 eV/cell. The spin magnetization comes out at 0.000 Bohr magnetons per cell.

Cell: 16.2507 16.2507 16.2507 Å, 90.00 90.00 90.00°
Last column: nearest neighbours and their distance in Å.
Space group Ia-3d (No. 230)
Asymmetric unit:
Zn (0.0000, 0.0000, 0.0000)  6 In 2.77
Zn (0.0000, 0.2500, 0.3750)  4 In 2.68
In (0.0231, 0.0801, 0.6484)  2 Zn 2.68-2.77, 1 P 2.81
P (0.0000, 0.2500, 0.1250)  4 In 2.81

=====

Record 10
Here is a relaxed Li2Dy crystal from Alexandria via LeMat-Bulk. Energies are from PBE-GGA.

Computed properties:
The calculation puts the total energy at -16.0 eV/cell. The spin magnetization comes out at 0.000 Bohr magnetons per cell.

Cell: 3.6220 3.6220 10.7334 Å, 90.00 90.00 90.00°
Last column: nearest neighbours and their distance in Å.
Space group I4/mmm (No. 139)
Asymmetric unit:
Li (0.0000, 0.0000, 0.1907)  4 Li 2.86
Dy (0.0000, 0.0000, 0.5000)  10 Li 3.28-3.32, 4 Dy 3.62

=====

Record 11
Here is a relaxed Tm6Bi3H crystal from Alexandria via LeMat-Bulk. Energies are from PBE-GGA.

Computed properties:
The calculation puts the total energy at -187.2 eV/cell. The spin magnetization comes out at 0.000 Bohr magnetons per cell.

Cell: 12.6671 15.9586 5.0208 Å, 90.00 90.00 90.00°
Last column: nearest neighbours and their distance in Å.
Space group Cmc2_1 (No. 36)
Asymmetric unit:
Tm (0.0000, 0.0759, 0.9998)  1 H 2.14
Tm (0.0000, 0.2542, 0.5024)  1 H 2.21
Tm (0.1661, 0.2480, 0.0000)  1 H 2.24
Tm (0.1675, 0.4220, 0.5008)  6 Bi 3.28-3.46, 4 Tm 3.42-3.53
Bi (0.0000, 0.4074, 0.0034)  1 H 3.22, 10 Tm 3.29-3.51
Bi (0.1658, 0.0940, 0.4992)  10 Tm 3.28-3.52, 1 H 3.48
H (0.0000, 0.2075, 0.9171)  4 Tm 2.14-2.24

=====

Record 12
Here is a relaxed LiEr3Sc2Te6 crystal from Alexandria via LeMat-Bulk. Energies are from PBE-GGA.

Computed properties:
The spin magnetization comes out at 0.000 Bohr magnetons per cell. Its uncorrected formation energy is -1.212 eV/atom.

Cell: 18.5328 4.2523 8.4965 Å, 90.00 103.24 90.00°
Last column: nearest neighbours and their distance in Å.
Space group C2/m (No. 12)
Asymmetric unit:
Li (0.0000, 0.0000, 0.0000)  6 Te 2.95-2.96
Er (0.0000, 0.0000, 0.5000)  6 Te 3.03-3.07
Er (0.1660, 0.5000, 0.8298)  6 Te 3.01-3.08
Sc (0.1697, 0.5000, 0.3448)  6 Te 2.92-3.02
Te (0.0038, 0.5000, 0.2418)  2 Li 2.95, 1 Sc 3.00, 3 Er 3.07
Te (0.1638, 0.0000, 0.0904)  1 Li 2.96, 2 Sc 3.02, 3 Er 3.07-3.08
Te (0.1679, 0.0000, 0.5792)  3 Sc 2.92-2.93, 3 Er 3.01-3.03

=====

Record 13
Here is a relaxed ScCuAgHg crystal from Alexandria via LeMat-Bulk. Energies are from PBE-GGA.

Computed properties:
The calculation puts the total energy at -56.8 eV/cell. The spin magnetization comes out at 0.001 Bohr magnetons per cell.

Cell: 6.6205 6.6205 6.6205 Å, 90.00 90.00 90.00°
Last column: nearest neighbours and their distance in Å.
Space group F-43m (No. 216)
Asymmetric unit:
Sc (0.0000, 0.0000, 0.0000)  4 Ag 2.87, 4 Cu 2.87
Cu (0.2500, 0.2500, 0.7500)  4 Sc 2.87, 4 Hg 2.87
Ag (0.2500, 0.2500, 0.2500)  4 Hg 2.87, 4 Sc 2.87
Hg (0.0000, 0.0000, 0.5000)  4 Cu 2.87, 4 Ag 2.87

=====

Record 14
Here is a relaxed Ta2AsOs crystal from Alexandria via LeMat-Bulk. Energies are from PBE-GGA.

Computed properties:
The calculation puts the total energy at -116.6 eV/cell. The spin magnetization comes out at 0.000 Bohr magnetons per cell.

Cell: 2.9931 2.9931 26.7366 Å, 90.00 90.00 120.00°
Last column: nearest neighbours and their distance in Å.
Space group R3m (No. 160, hexagonal axes)
Asymmetric unit:
Ta (0.0000, 0.0000, 0.0000)  3 Os 2.66, 3 Ta 2.96
Ta (0.0000, 0.0000, 0.2434)  3 As 2.80, 9 Ta 2.96-2.99
As (0.0000, 0.0000, 0.4942)  3 Ta 2.80, 3 Os 2.86, 6 As 2.99
Os (0.0000, 0.0000, 0.7422)  3 Ta 2.66, 3 As 2.86

=====

Record 15
Here is a relaxed CaRh crystal from Alexandria via LeMat-Bulk. Energies are from PBE-GGA.

Computed properties:
The calculation puts the total energy at -57.7 eV/cell. The spin magnetization comes out at 0.000 Bohr magnetons per cell.

Cell: 3.1397 14.2706 5.6787 Å, 90.00 90.00 90.00°
Last column: nearest neighbours and their distance in Å.
Space group Imm2 (No. 44)
Asymmetric unit:
Ca (0.0000, 0.0000, 0.0000)  6 Rh 2.82-2.88, 2 Ca 3.14
Ca (0.0000, 0.3052, 0.7586)  3 Rh 2.80-2.98, 2 Ca 3.14
Rh (0.0000, 0.0000, 0.4958)  4 Rh 2.73, 2 Ca 2.82-2.86
Rh (0.0000, 0.3720, 0.2230)  2 Rh 2.73, 5 Ca 2.80-2.98

=====

Record 16
Here is a relaxed U2B2S7 crystal from Alexandria via LeMat-Bulk. Energies are from PBE-GGA.

Computed properties:
The spin magnetization comes out at 8.001 Bohr magnetons per cell. Its uncorrected formation energy is -0.676 eV/atom.

Cell: 8.3503 9.9908 5.6379 Å, 90.00 100.04 90.00°
Last column: nearest neighbours and their distance in Å.
Space group C2/m (No. 12)
Asymmetric unit:
U (0.0000, 0.2046, 0.0000)  6 S 2.67-2.73
B (0.2191, 0.5000, 0.4234)  4 S 1.92-1.95
S (0.0000, 0.5000, 0.5000)  2 B 1.95
S (0.1259, 0.0000, 0.2755)  1 B 1.95
S (0.2479, 0.1590, 0.7523)  1 B 1.92